No. 1
VASP calculation (GGA-PBE) on a geometry-optimized KLa3S structure.

As for the raw formation energy: -0.5071 eV/atom. For the density, the calculation gives 4.304 Mg/m³. The final energy comes out at -4.509 eV/atom.

It has space group Pm-3m (No. 221), with a = 5.7311 Å, b = 5.7311 Å, c = 5.7311 Å, α = 90.00°, β = 90.00° and γ = 90.00°. The inequivalent atoms are K at (0.0000, 0.0000, 0.0000), La at (0.0000, 0.5000, 0.5000) and S at (0.5000, 0.5000, 0.5000).

***

No. 2
VASP calculation (GGA-PBE) on a geometry-optimized HfPaMnRe structure.

The formation energy from the elements comes out at -0.07 eV/atom. For the density, the calculation gives 14.712 Mg/m³. The final energy comes out at -10.340 eV/atom.

It has space group F-43m (No. 216), with a = 6.6476 Å, b = 6.6476 Å, c = 6.6476 Å, α = 90.00°, β = 90.00° and γ = 90.00°. The inequivalent atoms are Hf at (0.0000, 0.0000, 0.0000), Pa at (0.0000, 0.0000, 0.5000), Mn at (0.2500, 0.2500, 0.2500) and Re at (0.2500, 0.2500, 0.7500).

***

No. 3
VASP calculation (GGA-PBE) on a geometry-optimized ZnCo2Re structure.

The formation energy from the elements comes out at 0.17 eV/atom. For the density, the calculation gives 11.866 Mg/m³. The final energy comes out at -6.809 eV/atom.

It has space group R3m (No. 160, hexagonal axes), with a = 2.6677 Å, b = 2.6677 Å, c = 25.1690 Å, α = 90.00°, β = 90.00° and γ = 120.00°. The inequivalent atoms are Zn at (0.0000, 0.0000, 0.0000), Co at (0.0000, 0.0000, 0.2505), Co at (0.0000, 0.0000, 0.5076) and Re at (0.0000, 0.0000, 0.7590).

***

Computed size of the total moment, in the same sequence as the records: 0.00 3.14 8.55 μB per cell.